Record 1
Crystalline Nb7W5 at its relaxed geometry, computed with GGA-PBE.

Energy of formation from the pure elements, eV/atom: 0.20
Space-group type: Cmmm, No. 65
Total magnetic moment, Bohr magnetons per cell: 0.00
Calculated total energy, eV/atom: -11.07

a = 4.768 Å, b = 5.426 Å, c = 8.646 Å
α = 108.29°, β = 90.00°, γ = 90.00°
Element x y z (fractional)
W  0.000  0.500  0.500
W  0.500  0.841  0.681
W  0.500  0.159  0.319
W  0.000  0.000  0.500
W  0.500  0.000  0.000
Nb  0.500  0.678  0.355
Nb  0.000  0.164  0.830
Nb  0.500  0.322  0.645
Nb  0.000  0.836  0.170
Nb  0.000  0.666  0.830
Nb  0.000  0.334  0.170
Nb  0.500  0.500  0.000



Record 2
Crystalline Nb8W at its relaxed geometry, computed with GGA-PBE.

Energy of formation from the pure elements, eV/atom: -0.03
Space-group type: I4/mmm, No. 139
Total magnetic moment, Bohr magnetons per cell: 0.00
Calculated total energy, eV/atom: -10.42

a = 3.290 Å, b = 7.190 Å, c = 7.190 Å
α = 87.00°, β = 76.77°, γ = 76.77°
Element x y z (fractional)
Nb  0.333  0.667  0.667
Nb  0.000  0.333  0.667
Nb  0.000  0.667  0.333
Nb  0.336  0.327  0.000
Nb  0.336  0.000  0.327
Nb  0.667  0.333  0.333
Nb  0.664  0.000  0.673
Nb  0.664  0.673  0.000
W  0.000  0.000  0.000



Record 3
Crystalline Nb3W2 at its relaxed geometry, computed with GGA-PBE.

Energy above the most stable polymorph in this dataset, eV per atom: 0.000
Energy of formation from the pure elements, eV/atom: 0.20
Space-group type: Fddd, No. 70
Total magnetic moment, Bohr magnetons per cell: 0.00
Calculated total energy, eV/atom: -11.02

a = 2.743 Å, b = 5.029 Å, c = 13.362 Å
α = 88.40°, β = 84.11°, γ = 74.17°
Element x y z (fractional)
Nb  0.250  0.500  0.700
Nb  0.850  0.500  0.500
Nb  0.450  0.500  0.300
Nb  0.100  0.000  0.000
Nb  0.500  0.000  0.200
Nb  0.700  0.000  0.800
W  0.301  0.000  0.599
W  0.650  0.500  0.901
W  0.051  0.500  0.099
W  0.899  0.000  0.401



Record 4
Crystalline NbW at its relaxed geometry, computed with GGA-PBE.

Energy of formation from the pure elements, eV/atom: 0.35
Space-group type: Cmcm, No. 63
Total magnetic moment, Bohr magnetons per cell: 0.00
Calculated total energy, eV/atom: -11.16

a = 2.677 Å, b = 5.062 Å, c = 5.420 Å
α = 90.00°, β = 90.00°, γ = 105.34°
Element x y z (fractional)
Nb  0.243  0.985  0.750
Nb  0.757  0.015  0.250
W  0.500  0.500  0.000
W  0.500  0.500  0.500



Record 5
Crystalline NbW at its relaxed geometry, computed with GGA-PBE.

Energy of formation from the pure elements, eV/atom: 1.05
Space-group type: P4_2/mnm, No. 136
Total magnetic moment, Bohr magnetons per cell: 0.00
Calculated total energy, eV/atom: -10.46

a = 5.326 Å, b = 5.326 Å, c = 5.371 Å
α = 90.00°, β = 90.00°, γ = 90.00°
Element x y z (fractional)
Nb  0.210  0.210  0.500
Nb  0.790  0.790  0.500
Nb  0.290  0.710  0.000
Nb  0.710  0.290  0.000
W  0.296  0.704  0.500
W  0.704  0.296  0.500
W  0.796  0.796  0.000
W  0.204  0.204  0.000



Record 6
Crystalline Nb3W5 at its relaxed geometry, computed with GGA-PBE.

Energy above the most stable polymorph in this dataset, eV per atom: 0.348
Energy of formation from the pure elements, eV/atom: 0.27
Space-group type: I-4m2, No. 119
Total magnetic moment, Bohr magnetons per cell: 0.00
Calculated total energy, eV/atom: -11.60

a = 3.830 Å, b = 3.830 Å, c = 9.779 Å
α = 101.29°, β = 101.29°, γ = 90.00°
Element x y z (fractional)
W  0.750  0.250  0.500
W  0.376  0.376  0.752
W  0.000  0.500  0.000
W  0.624  0.624  0.248
W  0.500  0.000  0.000
Nb  0.124  0.124  0.247
Nb  0.250  0.750  0.500
Nb  0.876  0.876  0.753